(1)
! ErH3Pt | the Alexandria database | PBE | relaxed; values from VASP
&SYSTEM
  ibrav = 0, nat = 5, ntyp = 3
/
ATOMIC_SPECIES
Er 167.26 Er.upf
H 1.01 H.upf
Pt 195.08 Pt.upf
CELL_PARAMETERS angstrom
3.7012 0.0000 0.0000
0.0000 3.7012 0.0000
0.0000 0.0000 3.7012
ATOMIC_POSITIONS angstrom
Er 0.0000 0.0000 0.0000
H 0.0000 1.8506 1.8506
H 1.8506 0.0000 1.8506
H 1.8506 1.8506 0.0000
Pt 1.8506 1.8506 1.8506
! * uncorrected energy: -22.89 eV for the cell shown
! * calculated volume: 51 Å³ per cell
! * space group: No. 221
! * spin magnetization: 0.00 μB/f.u.

(2)
! KSb2Ru | the Alexandria database | PBE | relaxed; values from VASP
&SYSTEM
  ibrav = 0, nat = 4, ntyp = 3
/
ATOMIC_SPECIES
K 39.10 K.upf
Sb 121.76 Sb.upf
Ru 101.07 Ru.upf
CELL_PARAMETERS angstrom
4.5483 0.0000 0.0000
0.0000 2.0567 7.4918
0.0000 -2.0567 7.4918
ATOMIC_POSITIONS angstrom
K 0.0000 0.0000 0.0000
Sb 0.0000 0.0000 10.4781
Sb 2.2742 0.0000 5.5713
Ru 2.2742 0.0000 11.6217
! * calculated volume: 140 Å³ per cell
! * space group: No. 38
! * polymorph energy (0 for the lowest one): 85.1 kJ/mol of formula units
! * spin magnetization: 0.00 μB/f.u.
! * formation energy without anion corrections: 0.068 eV per atom